# 1
## ScTl2Te (GGA-PBE)

Data for a relaxed ScTl2Te crystal.

Results
The total DFT energy (no corrections) comes out at -13.9 eV per cell. The energy above the lowest structure with this stoichiometry is 486.5 meV per atom. For the energy relative to the elements, uncorrected, the calculation gives 0.07 eV per atom. The volume comes out at 27.43 Å³/atom. Its crystal system is orthorhombic. The calculation puts the theoretical density at 8797 kg/m3.

a = 3.452 Å, b = 3.452 Å, c = 9.924 Å
α = 90.00°, β = 90.00°, γ = 111.91°
Positions (direct):
Sc1 0.000 0.000 0.000
Tl1 0.500 0.500 0.240
Tl2 0.500 0.500 0.760
Te1 0.000 0.000 0.500



# 2
## SrOs2Br (GGA-PBE)

Data for a relaxed SrOs2Br crystal.

Results
The total DFT energy (no corrections) comes out at -21.9 eV per cell. The energy above the lowest structure with this stoichiometry is 915.6 meV per atom. For the energy relative to the elements, uncorrected, the calculation gives 0.99 eV per atom. The volume comes out at 23.68 Å³/atom. Its crystal system is orthorhombic. The calculation puts the theoretical density at 9606 kg/m3.

a = 2.901 Å, b = 5.331 Å, c = 6.126 Å
α = 90.00°, β = 90.00°, γ = 90.00°
Positions (direct):
Sr1 0.000 0.000 0.000
Os1 0.500 0.500 0.182
Os2 0.500 0.500 0.818
Br1 0.000 0.000 0.500



- Which of these has the highest total DFT energy (no corrections)?
  ScTl2Te